1.
LiCoGePb: relaxed, GGA-PBE.

Calculated values
Symmetry: No. 216
Magnetic moment in μB/cell: 0.01
Mass density in kg/m3: 8198
Energy relative to the lowest polymorph listed for this composition in eV/atom: 0.289

a = 4.6265 Å, b = 4.6265 Å, c = 4.6265 Å
α = 60.00°, β = 60.00°, γ = 60.00°
Positions (direct):
Ge (0.2500, 0.2500, 0.2500)
Pb (0.5000, 0.5000, 0.5000)
Co (0.0000, 0.0000, 0.0000)
Li (0.7500, 0.7500, 0.7500)

***

2.
Li4CoGe2Pd: relaxed, GGA-PBE.

Calculated values
Calculated total energy in eV for the cell shown: -32.356
Symmetry: No. 115
Magnetic moment in μB/cell: 0.07
Mass density in kg/m3: 5438

a = 4.1614 Å, b = 4.1614 Å, c = 5.9670 Å
α = 90.00°, β = 90.00°, γ = 90.00°
Positions (direct):
Pd (0.5000, 0.5000, 0.5000)
Ge (0.5000, 0.0000, 0.2245)
Ge (0.0000, 0.5000, 0.7755)
Co (0.0000, 0.0000, 0.0000)
Li (0.5000, 0.5000, 0.0000)
Li (0.0000, 0.0000, 0.5000)
Li (0.5000, 0.0000, 0.7572)
Li (0.0000, 0.5000, 0.2428)

***

3.
LiCoReGe: relaxed, GGA-PBE.

Calculated values
Symmetry: No. 216
Magnetic moment in μB/cell: 1.21
Mass density in kg/m3: 10718
Energy relative to the lowest polymorph listed for this composition in eV/atom: 0.010

a = 4.1437 Å, b = 4.1437 Å, c = 4.1437 Å
α = 60.00°, β = 60.00°, γ = 60.00°
Positions (direct):
Co (0.7500, 0.7500, 0.7500)
Li (0.5000, 0.5000, 0.5000)
Re (0.2500, 0.2500, 0.2500)
Ge (0.0000, 0.0000, 0.0000)